Record 1
Compound: NaIr
Source: OQMD
Functional: PBE-GGA
Structure: optimized geometry

```
NaIr
1.0
0.000 3.217 3.217
3.217 0.000 3.217
3.217 3.217 0.000
Na Ir
1 1
Cartesian
0.000 0.000 0.000
1.608 1.608 1.608
```

Results
crystal system = cubic
total magnetic moment = 2.00 μB/cell
VASP energy = -2.646 eV per atom

---

Record 2
Compound: TmSiAsO
Source: OQMD
Functional: PBE-GGA
Structure: optimized geometry

```
TmSiAsO
1.0
3.665 0.000 0.000
0.000 5.964 0.000
0.000 0.000 6.986
Tm Si As O
2 2 2 2
Cartesian
0.000 1.423 0.000
0.000 4.541 3.493
1.833 0.752 4.254
1.833 5.212 0.762
0.000 1.656 2.945
0.000 4.308 6.438
1.833 1.521 5.768
1.833 4.443 2.275
```

Results
crystal system = orthorhombic
total magnetic moment = 0.00 μB/cell
energy above the most stable polymorph in this dataset = 0 meV/atom

---

Record 3
Compound: DyScBe2Si2
Source: OQMD
Functional: PBE-GGA
Structure: optimized geometry

```
DyScBe2Si2
1.0
3.818 0.000 0.000
-1.909 3.307 0.000
0.000 0.000 7.693
Dy Sc Be Si
1 1 2 2
Cartesian
0.000 0.000 0.000
0.000 0.000 3.846
0.000 2.204 5.655
1.909 1.102 2.038
0.000 2.204 2.029
1.909 1.102 5.664
```

Results
crystal system = trigonal
total magnetic moment = 0.01 μB/cell
VASP energy = -5.506 eV per atom

---

Record 4
Compound: GdI
Source: OQMD
Functional: PBE-GGA
Structure: optimized geometry

```
GdI
1.0
0.000 3.471 3.471
3.471 0.000 3.471
3.471 3.471 0.000
Gd I
1 1
Cartesian
0.000 0.000 0.000
5.207 5.207 5.207
```

Results
crystal system = cubic
total magnetic moment = 0.28 μB/cell
VASP energy = -3.251 eV per atom

---

Record 5
Compound: LuPu
Source: OQMD
Functional: PBE-GGA
Structure: optimized geometry

```
LuPu
1.0
3.418 0.000 0.000
-1.709 2.960 0.000
0.000 0.000 5.626
Lu Pu
1 1
Cartesian
0.000 0.000 0.000
1.709 0.987 2.813
```

Results
DFT formation energy = 0.0774 eV/atom
crystal system = hexagonal
total magnetic moment = 6.15 μB/cell
energy above the most stable polymorph in this dataset = 0 meV/atom

---

Record 6
Compound: BaCdTeO
Source: OQMD
Functional: PBE-GGA
Structure: optimized geometry

```
BaCdTeO
1.0
7.815 0.000 0.000
0.000 8.047 0.000
0.000 0.000 7.551
Ba Cd Te O
4 4 4 4
Cartesian
1.184 0.567 0.000
2.724 0.567 3.775
5.092 7.480 0.000
6.632 7.480 3.775
0.416 5.167 1.010
3.492 5.167 4.786
4.324 2.879 1.010
7.400 2.879 4.786
0.754 5.259 5.675
3.154 5.259 1.900
4.661 2.788 5.675
7.062 2.788 1.900
0.488 0.910 5.091
3.420 0.910 1.315
4.396 7.137 5.091
7.327 7.137 1.315
```

Results
crystal system = orthorhombic
VASP energy = -4.190 eV per atom

---

Record 7
Compound: PrBiPO
Source: OQMD
Functional: PBE-GGA
Structure: optimized geometry

```
PrBiPO
1.0
3.995 0.000 0.000
0.000 3.995 0.000
0.000 0.000 5.422
Pr Bi P O
1 1 1 1
Cartesian
0.000 0.000 0.000
1.998 1.998 2.711
1.998 1.998 0.000
0.000 0.000 2.711
```

Results
crystal system = tetragonal
total magnetic moment = 0.01 μB/cell
energy above the most stable polymorph in this dataset = 292 meV/atom

---

Record 8
Compound: TbPu
Source: OQMD
Functional: PBE-GGA
Structure: optimized geometry

```
TbPu
1.0
3.468 0.000 0.000
-1.734 3.003 0.000
0.000 0.000 5.697
Tb Pu
1 1
Cartesian
0.000 0.000 0.000
0.000 2.002 2.849
```

Results
DFT formation energy = 0.0901 eV/atom
crystal system = hexagonal
total magnetic moment = 6.15 μB/cell
energy above the most stable polymorph in this dataset = 0 meV/atom

---

Record 9
Compound: BeAsIrO
Source: OQMD
Functional: PBE-GGA
Structure: optimized geometry

```
BeAsIrO
1.0
3.525 0.000 0.000
0.000 3.525 0.000
0.000 0.000 8.103
Be As Ir O
2 2 2 2
Cartesian
0.881 2.644 0.000
2.644 0.881 0.000
0.881 0.881 1.581
2.644 2.644 6.521
0.881 0.881 5.337
2.644 2.644 2.766
0.881 2.644 4.051
2.644 0.881 4.051
```

Results
crystal system = tetragonal
total magnetic moment = 0.01 μB/cell
energy above the most stable polymorph in this dataset = 1308 meV/atom

---

Record 10
Compound: NaTbHg3Se4
Source: OQMD
Functional: PBE-GGA
Structure: optimized geometry

```
NaTbHg3Se4
1.0
6.774 0.000 0.000
0.000 6.774 0.000
0.000 0.000 6.774
Na Tb Hg Se
1 1 3 4
Cartesian
0.000 0.000 0.000
3.387 3.387 3.387
0.000 3.387 3.387
3.387 0.000 3.387
3.387 3.387 0.000
1.799 1.799 1.799
1.799 4.976 4.976
4.976 1.799 4.976
4.976 4.976 1.799
```

Results
crystal system = cubic
total magnetic moment = 0.00 μB/cell
energy above the most stable polymorph in this dataset = 18 meV/atom

---

Record 11
Compound: HoCoNi2
Source: OQMD
Functional: PBE-GGA
Structure: optimized geometry

```
HoCoNi2
1.0
2.457 1.419 8.105
-2.457 1.419 8.105
0.000 -2.838 8.105
Ho Co Ni
3 3 6
Cartesian
0.000 0.000 0.000
0.000 0.000 3.385
0.000 0.000 20.930
0.000 0.000 8.098
0.000 0.000 12.158
0.000 0.000 16.218
-1.225 -0.707 10.093
0.000 -1.415 14.222
-1.225 0.707 14.222
1.225 -0.707 10.094
0.000 1.415 10.094
1.225 0.707 14.222
```

Results
DFT formation energy = -0.3180 eV/atom
crystal system = trigonal
total magnetic moment = 4.61 μB/cell

---

Record 12
Compound: Ac4TlIr2
Source: OQMD
Functional: PBE-GGA
Structure: optimized geometry

```
Ac4TlIr2
1.0
2.185 -7.383 0.000
2.185 7.383 0.000
0.000 0.000 14.973
Ac Tl Ir
8 2 4
Cartesian
0.000 0.000 0.000
0.000 0.000 7.487
2.185 3.456 9.102
2.185 3.456 13.358
2.185 1.000 3.743
2.185 -1.000 11.230
2.185 -3.456 1.616
2.185 -3.456 5.871
2.185 5.736 3.743
2.185 -5.736 11.230
2.185 1.954 0.958
2.185 1.954 6.529
2.185 -1.954 8.445
2.185 -1.954 14.015
```

Results
crystal system = orthorhombic
total magnetic moment = 0.00 μB/cell
VASP energy = -5.772 eV per atom